A relaxed TbInI crystal. Source: Alexandria, functional GGA-PBE.

Output
crystal system: monoclinic
formation energy from raw total energies: -0.830 eV per atom
calculated density: 6.22 Mg/m³
density of states at the Fermi level: 0.4 states/eV/f.u.
total energy: -22.81 eV per cell

Cell lengths 4.5258, 4.5258, 12.3398 Å; angles 90.15, 100.42, 120.00 degrees
Fractional positions:
1 I 0.4454 0.7203 0.1657
2 I 0.5546 0.2797 0.8343
3 In 0.3055 0.1525 0.4581
4 In 0.6945 0.8475 0.5419
5 Tb 0.8817 0.4396 0.3212
6 Tb 0.1183 0.5604 0.6788

A relaxed La6Tb16Dy7 crystal. Source: Alexandria, functional GGA-PBE.

Output
crystal system: cubic
E_form: 0.22 eV per atom
calculated density: 7.41 Mg/m³
density of states at the Fermi level: 48.7 states/eV/f.u.
total energy: -129.36 eV per cell

Cell lengths 11.2679, 11.2679, 11.2679 Å; angles 60.00, 60.00, 60.00 degrees
Fractional positions:
1 Dy 0.0000 0.5000 0.5000
2 Dy 0.5000 0.5000 0.0000
3 Dy 0.5000 0.0000 0.5000
4 Dy 0.0000 0.5000 0.0000
5 Dy 0.0000 0.0000 0.0000
6 Dy 0.0000 0.0000 0.5000
7 Dy 0.5000 0.0000 0.0000
8 Tb 0.6518 0.6518 0.0445
9 Tb 0.9555 0.3482 0.3482
10 Tb 0.3482 0.3482 0.9555
11 Tb 0.3482 0.9555 0.3482
12 Tb 0.1284 0.1284 0.6148
13 Tb 0.3852 0.8716 0.8716
14 Tb 0.3482 0.3482 0.3482
15 Tb 0.8716 0.8716 0.3852
16 Tb 0.1284 0.6148 0.1284
17 Tb 0.6148 0.1284 0.1284
18 Tb 0.6518 0.6518 0.6518
19 Tb 0.6518 0.0445 0.6518
20 Tb 0.8716 0.3852 0.8716
21 Tb 0.8716 0.8716 0.8716
22 Tb 0.1284 0.1284 0.1284
23 Tb 0.0445 0.6518 0.6518
24 La 0.2700 0.2700 0.7300
25 La 0.2700 0.7300 0.7300
26 La 0.7300 0.2700 0.2700
27 La 0.2700 0.7300 0.2700
28 La 0.7300 0.7300 0.2700
29 La 0.7300 0.2700 0.7300

A relaxed Np2ZnP3Ir4 crystal. Source: Alexandria, functional GGA-PBE.

Output
crystal system: tetragonal
E_form: -0.58 eV per atom
calculated density: 14.01 Mg/m³
density of states at the Fermi level: 18.2 states/eV/f.u.
total energy: -84.61 eV per cell

Cell lengths 3.9725, 3.9725, 10.5278 Å; angles 90.00, 90.00, 90.00 degrees
Site moments in Bohr magnetons follow the coordinates.
Fractional positions:
1 Np 0.0000 0.5000 0.7516  3.52
2 Np 0.5000 0.0000 0.2484  3.52
3 Ir 0.5000 0.0000 0.6518  -0.13
4 Ir 0.0000 0.0000 0.0000  -0.01
5 Ir 0.0000 0.5000 0.3482  -0.13
6 Ir 0.5000 0.5000 0.0000  -0.02
7 P 0.0000 0.5000 0.1308  -0.01
8 P 0.0000 0.0000 0.5000  -0.03
9 P 0.5000 0.0000 0.8692  -0.01
10 Zn 0.5000 0.5000 0.5000  0.02

A relaxed MnBe2Rh crystal. Source: Alexandria, functional GGA-PBE.

Output
crystal system: tetragonal
offset from the most stable computed form: 4.63 kcal/mol of atoms
E_form: -0.22 eV per atom
calculated density: 7.22 Mg/m³
density of states at the Fermi level: 2.0 states/eV/f.u.
total energy: -24.86 eV per cell

Cell lengths 2.6957, 2.6957, 5.5681 Å; angles 90.00, 90.00, 90.02 degrees
Site moments in Bohr magnetons follow the coordinates.
Fractional positions:
1 Be 0.0000 0.0000 0.0298  0.00
2 Be 0.5000 0.5000 0.2281  -0.01
3 Rh 0.5000 0.5000 0.7707  -0.04
4 Mn 0.0000 0.0000 0.4714  0.32

A relaxed CaPrMgGe crystal. Source: Alexandria, functional GGA-PBE.

Output
crystal system: cubic
E_form: -0.33 eV per atom
calculated density: 4.39 Mg/m³
density of states at the Fermi level: 3.0 states/eV/f.u.
total energy: -14.33 eV per cell

Cell lengths 5.2979, 5.2979, 5.2979 Å; angles 60.00, 60.00, 60.00 degrees
Fractional positions:
1 Mg 0.7500 0.7500 0.7500
2 Ca 0.5000 0.5000 0.5000
3 Ge 0.2500 0.2500 0.2500
4 Pr 0.0000 0.0000 0.0000

A relaxed Pr2SbS6 crystal. Source: Alexandria, functional GGA-PBE.

Output
crystal system: monoclinic
formation energy from raw total energies: -1.060 eV per atom
calculated density: 4.71 Mg/m³
density of states at the Fermi level: 4.1 states/eV/f.u.
total energy: -95.97 eV per cell

Cell lengths 5.8731, 7.6298, 9.3866 Å; angles 90.00, 91.76, 90.00 degrees
Fractional positions:
1 S 0.4108 0.5268 0.7411
2 S 0.5892 0.4732 0.2589
3 S 0.0892 0.0268 0.7589
4 S 0.1666 0.3056 0.4606
5 S 0.6666 0.1944 0.9606
6 S 0.1413 0.3310 0.0449
7 S 0.3587 0.8310 0.4551
8 S 0.6413 0.1690 0.5449
9 S 0.8587 0.6690 0.9551
10 S 0.8334 0.6944 0.5394
11 S 0.3334 0.8056 0.0394
12 S 0.9108 0.9732 0.2411
13 Sb 0.0000 0.0000 0.5000
14 Sb 0.5000 0.5000 0.0000
15 Pr 0.9348 0.3912 0.7400
16 Pr 0.4348 0.1088 0.2400
17 Pr 0.0652 0.6088 0.2600
18 Pr 0.5652 0.8912 0.7600

A relaxed ScTa3Be crystal. Source: Alexandria, functional GGA-PBE.

Output
crystal system: cubic
offset from the most stable computed form: 0.00 kcal/mol of atoms
E_form: 0.52 eV per atom
calculated density: 10.76 Mg/m³
density of states at the Fermi level: 6.1 states/eV/f.u.
total energy: -43.03 eV per cell

Cell lengths 4.5162, 4.5162, 4.5162 Å; angles 90.00, 90.00, 90.00 degrees
Fractional positions:
1 Ta 0.0000 0.5000 0.0000
2 Ta 0.0000 0.0000 0.5000
3 Ta 0.5000 0.0000 0.0000
4 Be 0.0000 0.0000 0.0000
5 Sc 0.5000 0.5000 0.5000

A relaxed YIn2Ga crystal. Source: Alexandria, functional GGA-PBE.

Output
crystal system: tetragonal
E_form: -0.24 eV per atom
calculated density: 6.35 Mg/m³
density of states at the Fermi level: 1.4 states/eV/f.u.
total energy: -31.86 eV per cell

Cell lengths 8.1848, 8.1848, 6.5336 Å; angles 51.22, 51.22, 90.00 degrees
Fractional positions:
1 Y 0.0000 0.0000 0.0000
2 Y 0.7500 0.2500 0.5000
3 In 0.1709 0.6250 0.2500
4 In 0.8750 0.8291 0.7500
5 In 0.3750 0.4209 0.7500
6 In 0.5791 0.1250 0.2500
7 Ga 0.5000 0.5000 0.0000
8 Ga 0.2500 0.7500 0.5000

A relaxed NdMg2Cd2Ag2 crystal. Source: Alexandria, functional GGA-PBE.

Output
crystal system: trigonal
E_form: -0.20 eV per atom
calculated density: 6.54 Mg/m³
density of states at the Fermi level: 2.9 states/eV/f.u.
total energy: -16.91 eV per cell

Cell lengths 4.8706, 4.8706, 8.3217 Å; angles 72.98, 72.98, 60.00 degrees
Fractional positions:
1 Cd 0.4137 0.4137 0.7589
2 Cd 0.5863 0.5863 0.2411
3 Ag 0.2563 0.2563 0.2310
4 Ag 0.7437 0.7437 0.7690
5 Mg 0.1373 0.1373 0.5881
6 Mg 0.8627 0.8627 0.4119
7 Nd 0.0000 0.0000 0.0000

A relaxed NdZrCrN3 crystal. Source: Alexandria, functional GGA-PBE.

Output
crystal system: monoclinic
formation energy from raw total energies: -1.099 eV per atom
calculated density: 6.34 Mg/m³
density of states at the Fermi level: 3.7 states/eV/f.u.
total energy: -109.02 eV per cell

Cell lengths 3.3161, 7.1338, 7.4556 Å; angles 102.04, 90.00, 90.00 degrees
Site moments in Bohr magnetons follow the coordinates.
Fractional positions:
1 Nd 0.7500 0.8194 0.8125  0.00
2 Nd 0.2500 0.1806 0.1875  0.00
3 Zr 0.2500 0.6459 0.1540  0.01
4 Zr 0.7500 0.3541 0.8460  0.01
5 N 0.2500 0.8223 0.4750  -0.01
6 N 0.7500 0.1777 0.5250  -0.01
7 N 0.7500 0.8773 0.1437  0.00
8 N 0.2500 0.1227 0.8563  0.00
9 N 0.7500 0.4295 0.1482  0.00
10 N 0.2500 0.5705 0.8518  0.00
11 Cr 0.7500 0.9143 0.3975  0.24
12 Cr 0.2500 0.0857 0.6025  0.24

A relaxed SrLa3Ir crystal. Source: Alexandria, functional GGA-PBE.

Output
crystal system: orthorhombic
offset from the most stable computed form: 3.81 kcal/mol of atoms
E_form: -0.16 eV per atom
calculated density: 6.35 Mg/m³
density of states at the Fermi level: 7.8 states/eV/f.u.
total energy: -52.23 eV per cell

Cell lengths 7.4958, 7.4958, 6.8504 Å; angles 90.00, 90.00, 108.83 degrees
Fractional positions:
1 Sr 0.5624 0.4376 0.7500
2 Sr 0.4376 0.5624 0.2500
3 La 0.5357 0.0834 0.2500
4 La 0.9166 0.4643 0.2500
5 La 0.4643 0.9166 0.7500
6 La 0.0834 0.5357 0.7500
7 La 0.0000 0.0000 0.5000
8 La 0.0000 0.0000 0.0000
9 Ir 0.1957 0.8043 0.2500
10 Ir 0.8043 0.1957 0.7500

A relaxed CdOsAu2 crystal. Source: Alexandria, functional GGA-PBE.

Output
crystal system: tetragonal
E_form: 0.41 eV per atom
calculated density: 16.63 Mg/m³
density of states at the Fermi level: 3.6 states/eV/f.u.
total energy: -17.05 eV per cell

Cell lengths 2.8861, 2.8861, 8.3509 Å; angles 90.00, 90.00, 90.00 degrees
Fractional positions:
1 Au 0.0000 0.0000 0.5135
2 Au 0.0000 0.0000 0.9865
3 Os 0.5000 0.5000 0.7500
4 Cd 0.5000 0.5000 0.2500

What total magnetization values result from the calculations? In sequence: 0.00, 0.00, 7.08, 0.27, 0.00, 0.00, 0.00, 0.00, 0.00, 0.56, 0.00, 0.00 Bohr magnetons per cell.